First-principles (PBE) data for crystalline Ta2InS6 at its relaxed geometry, as listed in Alexandria via LeMat-Bulk.

## Properties
Total moment ... 0.000 μB per atom
Formation energy from raw total energies ... -75.8 kJ/mol of atoms
DOS at the Fermi energy ... 0.25 states/eV/atom
Total energy ... -6.476 eV per atom

The structure in POSCAR format:
```
Ta2InS6
1.0
-3.442 1.952 -4.561
-8.757 -3.893 4.944
3.216 10.116 1.901
Ta In S
6 3 18
direct
0.000 0.000 0.344
0.000 0.656 0.656
0.000 0.344 0.000
0.000 0.000 0.656
0.000 0.344 0.344
0.000 0.656 0.000
0.525 0.667 0.333
0.475 0.333 0.667
0.000 0.000 0.000
0.250 0.907 0.453
0.250 0.547 0.093
0.250 0.547 0.453
0.750 0.453 0.547
0.750 0.453 0.907
0.750 0.093 0.547
0.761 0.425 0.213
0.761 0.787 0.575
0.761 0.787 0.213
0.773 0.757 0.878
0.773 0.122 0.243
0.773 0.122 0.878
0.227 0.878 0.122
0.227 0.878 0.757
0.227 0.243 0.122
0.239 0.575 0.787
0.239 0.213 0.425
0.239 0.213 0.787
```

=====

First-principles (PBE) data for crystalline Pr5OsN8 at its relaxed geometry, as listed in Alexandria via LeMat-Bulk.

## Properties
Total moment ... 0.007 μB per atom
Formation energy from raw total energies ... -58.9 kJ/mol of atoms
DOS at the Fermi energy ... 0.89 states/eV/atom
Total energy ... -7.877 eV per atom

The structure in POSCAR format:
```
Pr5OsN8
1.0
-4.912 -4.503 -2.508
6.912 -1.603 -0.590
-3.131 -0.103 6.393
Pr Os N
5 1 8
direct
0.891 0.277 0.130
0.870 0.761 0.147
0.853 0.723 0.614
0.500 0.000 0.500
0.386 0.239 0.109
0.250 0.500 0.750
0.143 0.706 0.854
0.146 0.289 0.852
0.639 0.266 0.351
0.649 0.288 0.915
0.627 0.712 0.361
0.563 0.711 0.857
0.148 0.294 0.437
0.085 0.734 0.373
```

=====

> The highest DOS at the Fermi energy belongs to which entry?

Pr5OsN8

=====

> Which value of formation energy from raw total energies does entry 1 give?

-75.8 kJ/mol of atoms

=====

What did the first record say?
First-principles (PBE) data for crystalline Ta2InS6 at its relaxed geometry, as listed in Alexandria via LeMat-Bulk.

## Properties
Total moment ... 0.000 μB per atom
Formation energy from raw total energies ... -75.8 kJ/mol of atoms
DOS at the Fermi energy ... 0.25 states/eV/atom
Total energy ... -6.476 eV per atom

The structure in POSCAR format:
```
Ta2InS6
1.0
-3.442 1.952 -4.561
-8.757 -3.893 4.944
3.216 10.116 1.901
Ta In S
6 3 18
direct
0.000 0.000 0.344
0.000 0.656 0.656
0.000 0.344 0.000
0.000 0.000 0.656
0.000 0.344 0.344
0.000 0.656 0.000
0.525 0.667 0.333
0.475 0.333 0.667
0.000 0.000 0.000
0.250 0.907 0.453
0.250 0.547 0.093
0.250 0.547 0.453
0.750 0.453 0.547
0.750 0.453 0.907
0.750 0.093 0.547
0.761 0.425 0.213
0.761 0.787 0.575
0.761 0.787 0.213
0.773 0.757 0.878
0.773 0.122 0.243
0.773 0.122 0.878
0.227 0.878 0.122
0.227 0.878 0.757
0.227 0.243 0.122
0.239 0.575 0.787
0.239 0.213 0.425
0.239 0.213 0.787
```